w.
Compound: ZnAgTe2
Source: the Alexandria database
Functional: SCAN
Structure: single point on PBEsol structure

```
ZnAgTe2
1.0
-1.970 1.970 6.162
1.970 -1.970 6.162
1.970 1.970 -6.162
Zn Ag Te
1 1 2
Direct
0.000 0.000 0.000
0.750 0.250 0.500
0.250 0.750 0.500
0.500 0.500 0.000
```

## Properties
N(E_F) = 0.4763 states/eV/atom

---

x.
Compound: ZnAgTe2
Source: the Alexandria database
Functional: SCAN
Structure: single point on PBEsol structure

```
ZnAgTe2
1.0
3.591 -1.996 0.000
3.591 1.996 0.000
-2.362 0.000 6.502
Zn Ag Te
1 1 2
Direct
0.000 0.000 0.000
0.500 0.500 0.500
0.278 0.278 0.757
0.722 0.722 0.243
```

## Properties
N(E_F) = 0.4071 states/eV/atom

---

x is favored, and the nearest alternative lies 250 meV per atom above it.

---

w.
Compound: ZnAgTe2
Source: the Alexandria database
Functional: SCAN
Structure: single point on PBEsol structure

```
ZnAgTe2
1.0
3.113 -3.970 0.000
3.113 3.970 0.000
-2.108 0.000 3.879
Zn Ag Te
1 1 2
Direct
0.000 0.000 0.000
0.500 0.500 0.000
0.000 0.500 0.500
0.500 0.000 0.500
```

## Properties
N(E_F) = 0.2818 states/eV/atom

---

x.
Compound: ZnAgTe2
Source: the Alexandria database
Functional: SCAN
Structure: single point on PBEsol structure

```
ZnAgTe2
1.0
0.000 3.530 3.530
3.530 0.000 3.530
3.530 3.530 0.000
Zn Ag Te
1 1 2
Direct
0.000 0.000 0.000
0.500 0.500 0.500
0.250 0.250 0.250
0.750 0.750 0.750
```

## Properties
N(E_F) = 0.5965 states/eV/atom

---

y.
Compound: ZnAgTe2
Source: the Alexandria database
Functional: SCAN
Structure: single point on PBEsol structure

```
ZnAgTe2
1.0
-3.096 3.096 5.991
3.096 -3.096 5.991
3.096 3.096 -5.991
Zn Ag Te
2 2 4
Direct
0.000 0.000 0.000
0.750 0.250 0.500
0.250 0.750 0.500
0.500 0.500 0.000
0.113 0.625 0.988
0.375 0.363 0.488
0.637 0.125 0.012
0.875 0.887 0.512
```

## Properties
N(E_F) = 0.6484 states/eV/atom

---

y is favored, and the nearest alternative lies 209 meV per atom above it.

---

w.
Compound: TlAg5
Source: the Alexandria database
Functional: SCAN
Structure: single point on PBEsol structure

```
TlAg5
1.0
5.071 0.000 0.000
-2.535 4.391 0.000
0.000 0.000 4.770
Tl Ag
1 5
Direct
0.000 0.000 0.000
0.000 0.345 0.500
0.333 0.667 0.000
0.345 0.000 0.500
0.655 0.655 0.500
0.667 0.333 0.000
```

## Properties
N(E_F) = 0.2160 states/eV/atom

---

x.
Compound: TlAg5
Source: the Alexandria database
Functional: SCAN
Structure: single point on PBEsol structure

```
TlAg5
1.0
5.380 -1.477 0.000
5.380 1.477 0.000
-1.886 0.000 6.721
Tl Ag
1 5
Direct
0.000 0.000 0.000
0.278 0.278 0.067
0.334 0.334 0.658
0.620 0.620 0.719
0.674 0.674 0.344
0.950 0.950 0.399
```

## Properties
N(E_F) = 0.2763 states/eV/atom

---

w is favored, and the nearest alternative lies 17 meV per atom above it.

---

w.
Compound: Tl2AgW
Source: the Alexandria database
Functional: SCAN
Structure: single point on PBEsol structure

```
Tl2AgW
1.0
4.777 -1.476 0.000
4.777 1.476 0.000
-1.017 0.000 5.557
Tl Ag W
2 1 1
Direct
0.249 0.249 0.243
0.751 0.751 0.757
0.000 0.000 0.500
0.500 0.500 0.000
```

## Properties
N(E_F) = 0.5444 states/eV/atom

---

x.
Compound: Tl2AgW
Source: the Alexandria database
Functional: SCAN
Structure: single point on PBEsol structure

```
Tl2AgW
1.0
1.520 -2.661 0.000
1.520 2.661 0.000
0.000 0.000 9.790
Tl Ag W
2 1 1
Direct
0.000 0.000 0.250
0.000 0.000 0.750
0.500 0.500 0.000
0.500 0.500 0.500
```

## Properties
N(E_F) = 0.3821 states/eV/atom

---

x is favored, and the nearest alternative lies 159 meV per atom above it.

---

w.
Compound: YTlAg2
Source: the Alexandria database
Functional: SCAN
Structure: single point on PBEsol structure

```
YTlAg2
1.0
4.488 0.000 0.000
0.000 4.488 0.000
0.000 0.000 4.282
Y Tl Ag
1 1 2
Direct
0.000 0.000 0.000
0.500 0.500 0.000
0.000 0.500 0.500
0.500 0.000 0.500
```

## Properties
N(E_F) = 0.6724 states/eV/atom

---

x.
Compound: YTlAg2
Source: the Alexandria database
Functional: SCAN
Structure: single point on PBEsol structure

```
YTlAg2
1.0
0.000 3.463 3.463
3.463 0.000 3.463
3.463 3.463 0.000
Y Tl Ag
1 1 2
Direct
0.000 0.000 0.000
0.750 0.750 0.750
0.250 0.250 0.250
0.500 0.500 0.500
```

## Properties
N(E_F) = 0.3935 states/eV/atom

---

y.
Compound: YTlAg2
Source: the Alexandria database
Functional: SCAN
Structure: single point on PBEsol structure

```
YTlAg2
1.0
0.000 3.457 3.457
3.457 0.000 3.457
3.457 3.457 0.000
Y Tl Ag
1 1 2
Direct
0.000 0.000 0.000
0.500 0.500 0.500
0.250 0.250 0.250
0.750 0.750 0.750
```

## Properties
N(E_F) = 0.2550 states/eV/atom

---

z.
Compound: YTlAg2
Source: the Alexandria database
Functional: SCAN
Structure: single point on PBEsol structure

```
YTlAg2
1.0
3.508 0.000 0.000
0.000 3.508 0.000
0.000 0.000 6.930
Y Tl Ag
1 1 2
Direct
0.000 0.000 0.000
0.500 0.500 0.700
0.000 0.000 0.463
0.500 0.500 0.257
```

## Properties
N(E_F) = 0.5722 states/eV/atom

---

y is favored, and the nearest alternative lies 19 meV per atom above it.

---

w.
Compound: TlZn2Ag
Source: the Alexandria database
Functional: SCAN
Structure: single point on PBEsol structure

```
TlZn2Ag
1.0
1.547 0.893 8.876
-1.547 0.893 8.876
0.000 -1.787 8.876
Tl Zn Ag
1 2 1
Direct
0.000 0.000 0.000
0.242 0.242 0.242
0.758 0.758 0.758
0.500 0.500 0.500
```

## Properties
N(E_F) = 0.3347 states/eV/atom

---

x.
Compound: TlZn2Ag
Source: the Alexandria database
Functional: SCAN
Structure: single point on PBEsol structure

```
TlZn2Ag
1.0
1.550 0.895 8.801
-1.550 0.895 8.801
0.000 -1.790 8.801
Tl Zn Ag
1 2 1
Direct
0.000 0.000 0.000
0.241 0.241 0.241
0.503 0.503 0.503
0.761 0.761 0.761
```

## Properties
N(E_F) = 0.2386 states/eV/atom

---

x is favored, and the nearest alternative lies 20 meV per atom above it.

---

w.
Compound: AgW3
Source: the Alexandria database
Functional: SCAN
Structure: single point on PBEsol structure

```
AgW3
1.0
2.634 0.000 0.000
0.000 4.304 0.000
0.000 0.000 5.602
Ag W
1 3
Direct
0.000 0.000 0.000
0.000 0.000 0.500
0.500 0.500 0.252
0.500 0.500 0.748
```

## Properties
N(E_F) = 0.5835 states/eV/atom

---

x.
Compound: AgW3
Source: the Alexandria database
Functional: SCAN
Structure: single point on PBEsol structure

```
AgW3
1.0
2.754 0.000 0.000
-1.377 2.385 0.000
0.000 0.000 9.760
Ag W
1 3
Direct
0.000 0.000 0.000
0.000 0.000 0.500
0.667 0.333 0.251
0.667 0.333 0.749
```

## Properties
N(E_F) = 0.6554 states/eV/atom

---

w is favored, and the nearest alternative lies 16 meV per atom above it.

---

w.
Compound: AgW3
Source: the Alexandria database
Functional: SCAN
Structure: single point on PBEsol structure

```
AgW3
1.0
3.967 0.000 0.000
0.000 3.967 0.000
0.000 0.000 3.967
Ag W
1 3
Direct
0.000 0.000 0.000
0.000 0.500 0.500
0.500 0.000 0.500
0.500 0.500 0.000
```

## Properties
N(E_F) = 0.4912 states/eV/atom

---

x.
Compound: AgW3
Source: the Alexandria database
Functional: SCAN
Structure: single point on PBEsol structure

```
AgW3
1.0
2.789 -4.261 0.000
2.789 4.261 0.000
0.000 0.000 2.662
Ag W
1 3
Direct
0.000 0.000 0.000
0.000 0.500 0.500
0.500 0.000 0.500
0.500 0.500 0.000
```

## Properties
N(E_F) = 0.5334 states/eV/atom

---

w is favored, and the nearest alternative lies 13 meV per atom above it.

---

w.
Compound: Ag2W
Source: the Alexandria database
Functional: SCAN
Structure: single point on PBEsol structure

```
Ag2W
1.0
-3.316 3.316 2.409
3.316 -3.316 2.409
3.316 3.316 -2.409
Ag W
4 2
Direct
0.148 0.648 0.797
0.352 0.148 0.500
0.648 0.852 0.500
0.852 0.352 0.203
0.250 0.250 0.000
0.750 0.750 0.000
```

## Properties
N(E_F) = 0.5569 states/eV/atom

---

x.
Compound: Ag2W
Source: the Alexandria database
Functional: SCAN
Structure: single point on PBEsol structure

```
Ag2W
1.0
4.578 0.000 0.000
-2.289 3.964 0.000
0.000 0.000 2.646
Ag W
2 1
Direct
0.333 0.667 0.000
0.667 0.333 0.000
0.000 0.000 0.500
```

## Properties
N(E_F) = 0.8158 states/eV/atom

---

x is favored, and the nearest alternative lies 52 meV per atom above it.

---

w.
Compound: Zn2AgW
Source: the Alexandria database
Functional: SCAN
Structure: single point on PBEsol structure

```
Zn2AgW
1.0
0.000 3.089 3.089
3.089 0.000 3.089
3.089 3.089 0.000
Zn Ag W
2 1 1
Direct
0.250 0.250 0.250
0.750 0.750 0.750
0.000 0.000 0.000
0.500 0.500 0.500
```

## Properties
N(E_F) = 0.6043 states/eV/atom

---

x.
Compound: Zn2AgW
Source: the Alexandria database
Functional: SCAN
Structure: single point on PBEsol structure

```
Zn2AgW
1.0
2.816 0.000 0.000
0.000 4.493 0.000
0.000 0.000 4.788
Zn Ag W
2 1 1
Direct
0.000 0.000 0.000
0.500 0.000 0.500
0.000 0.500 0.500
0.500 0.500 0.000
```

## Properties
N(E_F) = 0.5751 states/eV/atom

---

x is favored, and the nearest alternative lies 81 meV per atom above it.

---

w.
Compound: Zn2AgW
Source: the Alexandria database
Functional: SCAN
Structure: single point on PBEsol structure

```
Zn2AgW
1.0
5.109 -1.308 0.000
5.109 1.308 0.000
-1.980 0.000 4.458
Zn Ag W
2 1 1
Direct
0.000 0.000 0.000
0.747 0.747 0.430
0.248 0.248 0.926
0.493 0.493 0.491
```

## Properties
N(E_F) = 0.3337 states/eV/atom

---

x.
Compound: Zn2AgW
Source: the Alexandria database
Functional: SCAN
Structure: single point on PBEsol structure

```
Zn2AgW
1.0
0.000 3.113 3.113
3.113 0.000 3.113
3.113 3.113 0.000
Zn Ag W
2 1 1
Direct
0.000 0.000 0.000
0.250 0.250 0.250
0.500 0.500 0.500
0.750 0.750 0.750
```

## Properties
N(E_F) = 0.6204 states/eV/atom

---

y.
Compound: Zn2AgW
Source: the Alexandria database
Functional: SCAN
Structure: single point on PBEsol structure

```
Zn2AgW
1.0
2.736 0.000 0.000
0.000 3.499 0.000
0.000 0.000 6.139
Zn Ag W
2 1 1
Direct
0.000 0.000 0.250
0.000 0.000 0.750
0.500 0.500 0.000
0.500 0.500 0.500
```

## Properties
N(E_F) = 0.4732 states/eV/atom

---

w is favored, and the nearest alternative lies 33 meV per atom above it.

---

w.
Compound: Y2Ag3
Source: the Alexandria database
Functional: SCAN
Structure: single point on PBEsol structure

```
Y2Ag3
1.0
1.630 0.941 11.950
-1.630 0.941 11.950
0.000 -1.883 11.950
Y Ag
2 3
Direct
0.207 0.207 0.207
0.793 0.793 0.793
0.000 0.000 0.000
0.392 0.392 0.392
0.608 0.608 0.608
```

## Properties
N(E_F) = 0.7613 states/eV/atom

---

x.
Compound: Y2Ag3
Source: the Alexandria database
Functional: SCAN
Structure: single point on PBEsol structure

```
Y2Ag3
1.0
-1.812 1.812 8.170
1.812 -1.812 8.170
1.812 1.812 -8.170
Y Ag
2 3
Direct
0.108 0.108 0.000
0.892 0.892 0.000
0.293 0.293 0.000
0.500 0.500 0.000
0.707 0.707 0.000
```

## Properties
N(E_F) = 0.5697 states/eV/atom

---

x is favored, and the nearest alternative lies 480 meV per atom above it.